(1)
# Pm2PrCuS5, relaxed, DFT PBE
# Energy relative to the elements, uncorrected = -164.05 kJ per mole of atoms
# Spin magnetization = 0.0 μB/cell
data_Pm2PrCuS5
_chemical_formula_sum 'Pm4 Pr2 Cu2 S10'
_cell_length_a 9.137
_cell_length_b 9.137
_cell_length_c 11.454
_cell_angle_alpha 90.00
_cell_angle_beta 90.00
_cell_angle_gamma 155.18
_space_group_name_H-M_alt 'P 1'
_space_group_IT_number 1
loop_
_space_group_symop_operation_xyz
'x,y,z'
loop_
_atom_site_label
_atom_site_type_symbol
_atom_site_fract_x
_atom_site_fract_y
_atom_site_fract_z
Pm1 Pm 0.099 0.901 0.500
Pm2 Pm 0.113 0.887 0.127
Pm3 Pm 0.887 0.113 0.627
Pm4 Pm 0.901 0.099 0.000
Pr1 Pr 0.196 0.804 0.826
Pr2 Pr 0.804 0.196 0.326
Cu1 Cu 0.440 0.560 0.269
Cu2 Cu 0.560 0.440 0.769
S1 S 0.043 0.957 0.876
S2 S 0.296 0.704 0.506
S3 S 0.327 0.673 0.154
S4 S 0.360 0.640 0.820
S5 S 0.498 0.502 0.595
S6 S 0.502 0.498 0.095
S7 S 0.640 0.360 0.320
S8 S 0.673 0.327 0.654
S9 S 0.704 0.296 0.006
S10 S 0.957 0.043 0.376

(2)
# PmPrScCu, relaxed, DFT PBE
# ΔE_f = 0.146 eV/atom
# Spin magnetization = 0.0 μB/cell
data_PmPrScCu
_chemical_formula_sum 'Pm1 Pr1 Sc1 Cu1'
_cell_length_a 5.290
_cell_length_b 5.290
_cell_length_c 5.290
_cell_angle_alpha 60.00
_cell_angle_beta 60.00
_cell_angle_gamma 60.00
_space_group_name_H-M_alt 'P 1'
_space_group_IT_number 1
loop_
_space_group_symop_operation_xyz
'x,y,z'
loop_
_atom_site_label
_atom_site_type_symbol
_atom_site_fract_x
_atom_site_fract_y
_atom_site_fract_z
Pm1 Pm 0.000 0.000 0.000
Pr1 Pr 0.500 0.500 0.500
Sc1 Sc 0.750 0.750 0.750
Cu1 Cu 0.250 0.250 0.250